Record 1
DFT (PBE) results for Li2Ca2US6 after structural relaxation.

Unit cell a=6.9123 b=6.9123 c=6.4641 alpha=98.14 beta=98.14 gamma=119.54
Closest atoms and distances in Å follow each position.
Sites, in units of the cell vectors:
S1 0.3652 0.0571 0.7368  1 Li 2.55, 1 U 2.57, 2 Ca 2.80-2.85
S2 0.9429 0.6348 0.2632  1 Li 2.55, 1 U 2.57, 2 Ca 2.80-2.85
S3 0.7631 0.7631 0.7397  1 U 2.56, 2 Li 2.58, 2 Ca 2.84
S4 0.0571 0.3652 0.7368  1 Li 2.55, 1 U 2.57, 2 Ca 2.80-2.85
S5 0.6348 0.9429 0.2632  1 Li 2.55, 1 U 2.57, 2 Ca 2.80-2.85
S6 0.2369 0.2369 0.2603  1 U 2.56, 2 Li 2.58, 2 Ca 2.84
Ca1 0.6660 0.3340 0.5000  6 S 2.80-2.85
Ca2 0.3340 0.6660 0.5000  6 S 2.80-2.85
Li1 0.8636 0.1364 0.0000  4 S 2.55-2.58
Li2 0.1364 0.8636 0.0000  4 S 2.55-2.58
U1 0.0000 0.0000 0.5000  6 S 2.56-2.57

Energy   -5.544 eV per atom
Formation energy without anion corrections   -1.555 eV/atom
M_tot   0.00 μB per atom

---

Record 2
DFT (PBE) results for LiCa3U3S8 after structural relaxation.

Unit cell a=7.7690 b=7.7690 c=8.0055 alpha=119.03 beta=90.00 gamma=120.00
Closest atoms and distances in Å follow each position.
Sites, in units of the cell vectors:
S1 0.7562 0.5123 0.2657  1 Li 2.72, 2 U 2.73, 2 Ca 2.85
S2 0.2501 0.5003 0.2504  3 U 2.79, 3 Ca 2.79
S3 0.2438 0.4877 0.7343  1 Li 2.72, 2 U 2.73, 2 Ca 2.85
S4 0.7561 0.0096 0.2657  1 Li 2.72, 2 U 2.73, 2 Ca 2.85
S5 0.7499 0.4997 0.7496  3 U 2.79, 3 Ca 2.79
S6 0.2439 0.9904 0.7343  1 Li 2.72, 2 U 2.73, 2 Ca 2.85
S7 0.2534 0.0096 0.2657  1 Li 2.72, 2 U 2.73, 2 Ca 2.85
S8 0.7466 0.9904 0.7343  1 Li 2.72, 2 U 2.73, 2 Ca 2.85
Li1 0.0000 0.0000 0.5000  6 S 2.72
U1 0.5000 0.0000 0.5000  6 S 2.73-2.79
U2 0.5000 0.5000 0.5000  6 S 2.73-2.79
U3 0.0000 0.5000 0.5000  6 S 2.73-2.79
Ca1 0.0000 0.0000 0.0000  6 S 2.79-2.85
Ca2 0.0000 0.5000 0.0000  6 S 2.79-2.85
Ca3 0.5000 0.5000 0.0000  6 S 2.79-2.85

Energy   -6.597 eV per atom
Formation energy without anion corrections   -1.610 eV/atom
M_tot   0.58 μB per atom
N(E_F)   0.845 states/eV per atom

---

The highest energy belongs to which entry? Li2Ca2US6